Y8SiGe3Te4 GGA-PBE optimized geometry; ΔE_f (raw) = -19.06 eV per formula unit; VASP energy = -6.414 eV/atom; spin magnetization = 0.0 μB per cell
1.0
4.244 2.450 7.109
-4.244 2.450 7.109
0.000 -4.900 7.109
Y Si Ge Te
8 1 3 4
direct
0.240 0.240 0.240
0.241 0.739 0.739
0.261 0.261 0.759
0.261 0.759 0.261
0.739 0.241 0.739
0.739 0.739 0.241
0.759 0.261 0.261
0.760 0.760 0.760
0.500 0.500 0.500
0.000 0.000 0.500
0.000 0.500 0.000
0.500 0.000 0.000
0.000 0.000 0.000
0.000 0.500 0.500
0.500 0.000 0.500
0.500 0.500 0.000


Th4SiGe GGA-PBE optimized geometry; ΔE_f (raw) = -3.35 eV per formula unit; VASP energy = -7.178 eV/atom; spin magnetization = 0.0 μB per cell; polymorph energy (0 for the lowest one) = 0.000 kcal/mol of atoms
1.0
7.390 0.000 0.000
0.000 7.390 0.000
0.000 0.000 6.022
Th Si Ge
8 2 2
direct
0.162 0.333 0.000
0.162 0.667 0.500
0.333 0.162 0.500
0.333 0.838 0.000
0.667 0.162 0.000
0.667 0.838 0.500
0.838 0.333 0.500
0.838 0.667 0.000
0.000 0.000 0.250
0.000 0.000 0.750
0.500 0.500 0.250
0.500 0.500 0.750


Th5SiGe4 GGA-PBE optimized geometry; ΔE_f (raw) = -7.46 eV per formula unit; VASP energy = -6.845 eV/atom; spin magnetization = 0.0 μB per cell
1.0
-4.801 4.801 3.036
4.801 -4.801 3.036
4.801 4.801 -3.036
Th Si Ge
5 1 4
direct
0.000 0.000 0.000
0.202 0.400 0.602
0.400 0.798 0.199
0.600 0.202 0.801
0.798 0.600 0.398
0.500 0.500 0.000
0.099 0.700 0.799
0.300 0.099 0.400
0.700 0.901 0.600
0.901 0.300 0.201


Th2Si3Ge GGA-PBE optimized geometry; ΔE_f (raw) = -3.51 eV per formula unit; VASP energy = -6.539 eV/atom; spin magnetization = 0.0 μB per cell
1.0
8.534 -3.734 0.000
8.534 3.734 0.000
-0.981 0.000 3.989
Th Si Ge
4 6 2
direct
0.115 0.629 0.622
0.371 0.885 0.878
0.629 0.115 0.122
0.885 0.371 0.378
0.073 0.927 0.250
0.167 0.336 0.002
0.336 0.167 0.502
0.664 0.833 0.498
0.833 0.664 0.998
0.927 0.073 0.750
0.401 0.599 0.250
0.599 0.401 0.750


Th3Si2Ge2 GGA-PBE optimized geometry; ΔE_f (raw) = -4.57 eV per formula unit; VASP energy = -6.701 eV/atom; spin magnetization = 0.0 μB per cell
1.0
4.252 0.000 0.000
0.000 4.292 0.000
0.000 0.000 18.012
Th Si Ge
6 4 4
direct
0.000 0.000 0.000
0.000 0.500 0.183
0.000 0.500 0.817
0.500 0.000 0.317
0.500 0.000 0.683
0.500 0.500 0.500
0.000 0.000 0.436
0.000 0.000 0.564
0.500 0.500 0.064
0.500 0.500 0.936
0.000 0.500 0.355
0.000 0.500 0.645
0.500 0.000 0.145
0.500 0.000 0.855


Th3SiGe2 GGA-PBE optimized geometry; ΔE_f (raw) = -4.34 eV per formula unit; VASP energy = -6.876 eV/atom; spin magnetization = 0.0 μB per cell
1.0
3.715 -6.433 0.000
3.715 6.433 0.000
-2.477 0.000 7.000
Th Si Ge
6 2 4
direct
0.082 0.417 0.752
0.247 0.247 0.248
0.417 0.082 0.752
0.583 0.918 0.248
0.753 0.753 0.752
0.918 0.583 0.248
0.167 0.833 0.000
0.833 0.167 0.000
0.000 0.000 0.500
0.334 0.666 0.500
0.500 0.500 0.000
0.666 0.334 0.500


Number 1: density 5.50 g/cm³. Number 2: density 10.39 g/cm³. Number 3: density 8.77 g/cm³. Number 4: density 8.11 g/cm³. Number 5: density 9.07 g/cm³. Number 6: density 8.63 g/cm³.